# 1
A plane-wave DFT calculation with meta-GGA SCAN was carried out for a crystal of ZnTcW2 relaxed with PBEsol.

abc: 2.667 4.323 5.265
angles: 90.00 103.40 90.00
Atoms (fractional coordinates):
Tc  0.000  0.500  0.500
W  0.757  0.000  0.748
W  0.243  0.000  0.252
Zn  0.500  0.500  0.000

Calculated values
calculated total energy	-46.80	eV/atom

---

# 2
A plane-wave DFT calculation with meta-GGA SCAN was carried out for a crystal of ZnTcW2 relaxed with PBEsol.

abc: 3.317 4.194 4.205
angles: 90.00 90.00 90.00
Atoms (fractional coordinates):
Tc  0.000  0.500  0.500
W  0.000  0.000  0.000
W  0.500  0.500  0.000
Zn  0.500  0.000  0.500

Calculated values
calculated total energy	-46.78	eV/atom

---

# 3
A plane-wave DFT calculation with meta-GGA SCAN was carried out for a crystal of ZnTcW2 relaxed with PBEsol.

abc: 2.680 5.073 5.073
angles: 116.56 98.79 98.79
Atoms (fractional coordinates):
Tc  0.500  0.500  0.500
W  0.000  0.500  0.000
W  0.000  0.000  0.500
Zn  0.500  0.000  0.000

Calculated values
calculated total energy	-46.78	eV/atom

---

Question: The lowest calculated total energy belongs to which entry?
Answer: number 1

---

Question: Which value of calculated total energy does entry 1 give?
Answer: -46.80 eV/atom

---

Question: Look up the calculated total energy of the third one.
Answer: -46.78 eV/atom